# 1
Density functional theory data (GGA+U) for a geometry-optimized LiPu2FeO8 structure.

```
LiPu2FeO8
1.0
-3.986 -2.406 -0.560
0.652 -2.195 4.091
-3.437 4.948 3.202
Li Pu Fe O
1 2 1 8
direct
0.000 0.000 0.000
0.500 0.500 0.751
0.500 0.500 0.249
0.000 0.000 0.500
0.204 0.795 0.266
0.688 0.689 0.000
0.796 0.205 0.266
0.796 0.205 0.734
0.312 0.311 0.000
0.204 0.795 0.734
0.705 0.706 0.500
0.295 0.294 0.500
```

Computed properties:
The value obtained for the calculated total energy is -8.546 eV/atom.

# 2
Density functional theory data (GGA+U) for a geometry-optimized Rb2LiFeO4 structure.

```
Rb2LiFeO4
1.0
5.037 0.000 0.000
2.518 5.845 0.000
2.518 0.000 10.125
Rb Li Fe O
4 2 2 8
direct
0.174 0.000 0.652
0.826 0.000 0.348
0.576 0.500 0.848
0.924 0.500 0.152
0.750 0.500 0.500
0.000 0.000 0.000
0.250 0.500 0.500
0.500 0.000 0.000
0.311 0.835 0.089
0.235 0.165 0.911
0.854 0.835 0.911
0.600 0.165 0.089
0.439 0.665 0.411
0.515 0.335 0.589
0.896 0.665 0.589
0.150 0.335 0.411
```

Computed properties:
The value obtained for the calculated total energy is -4.958 eV/atom.

# 3
Density functional theory data (GGA+U) for a geometry-optimized RbLiFe2O structure.

```
RbLiFe2O
1.0
-4.066 -0.390 -2.011
1.196 -6.108 -1.235
-1.860 -1.170 3.988
O Fe Rb Li
1 2 1 1
direct
0.500 0.500 0.500
0.000 0.000 0.500
0.500 0.000 0.000
0.000 0.500 0.000
0.000 0.000 0.000
```

Computed properties:
The value obtained for the calculated total energy is -2.786 eV/atom.

# 4
Density functional theory data (GGA+U) for a geometry-optimized RbLiFeO2 structure.

```
RbLiFeO2
1.0
5.566 0.000 0.000
-2.783 5.893 0.000
0.000 0.000 5.367
Rb Li Fe O
2 2 2 4
direct
0.750 0.500 0.771
0.250 0.500 0.229
0.000 0.000 0.500
0.500 0.000 0.500
0.750 0.000 0.000
0.250 0.000 0.000
0.920 0.840 0.217
0.580 0.160 0.217
0.420 0.840 0.783
0.080 0.160 0.783
```

Computed properties:
The value obtained for the calculated total energy is -5.017 eV/atom.

# 5
Density functional theory data (GGA+U) for a geometry-optimized LiFe2Rh3O8 structure.

```
LiFe2Rh3O8
1.0
-5.113 -3.093 -0.387
-1.272 -3.929 4.336
-4.413 1.328 3.824
Li Fe Rh O
1 2 3 8
direct
0.246 0.246 0.246
0.624 0.624 0.624
0.003 0.003 0.003
0.623 0.623 0.130
0.130 0.623 0.623
0.623 0.130 0.623
0.387 0.387 0.387
0.387 0.387 0.842
0.842 0.387 0.387
0.387 0.842 0.387
0.868 0.868 0.868
0.868 0.868 0.393
0.393 0.868 0.868
0.868 0.393 0.868
```

Computed properties:
The value obtained for the calculated total energy is -6.469 eV/atom.

# 6
Density functional theory data (GGA+U) for a geometry-optimized Li3FeRh2O6 structure.

```
Li3FeRh2O6
1.0
-0.337 0.909 -2.896
4.017 -4.064 -1.743
-5.422 -3.757 1.062
Li Fe Rh O
3 1 2 6
direct
0.500 0.500 0.000
0.831 0.168 0.661
0.169 0.832 0.339
0.500 0.000 0.000
0.836 0.672 0.671
0.164 0.328 0.329
0.338 0.911 0.676
0.672 0.567 0.345
0.662 0.089 0.324
0.999 0.234 0.999
0.001 0.766 0.001
0.328 0.433 0.655
```

Computed properties:
The value obtained for the calculated total energy is -6.043 eV/atom.

# 7
Density functional theory data (GGA+U) for a geometry-optimized Li2FeRuO structure.

```
Li2FeRuO
1.0
4.736 0.000 0.000
0.000 4.643 0.000
0.000 0.000 4.736
Ru Fe O Li
1 1 1 2
direct
0.000 0.000 0.000
0.000 0.500 0.000
0.500 0.500 0.500
0.000 0.000 0.500
0.500 0.000 0.000
```

Computed properties:
The value obtained for the calculated total energy is -3.547 eV/atom.

# 8
Density functional theory data (GGA+U) for a geometry-optimized LiFeS2O8 structure.

```
LiFeS2O8
1.0
-5.590 1.041 6.250
-3.267 -2.652 -2.480
1.872 -6.094 2.690
Li Fe S O
2 2 4 16
direct
0.471 0.692 0.715
0.971 0.308 0.285
0.500 0.752 0.246
0.000 0.248 0.754
0.321 0.204 0.488
0.821 0.796 0.512
0.678 0.292 0.012
0.178 0.708 0.988
0.856 0.935 0.691
0.356 0.065 0.309
0.144 0.559 0.813
0.644 0.441 0.187
0.378 0.498 0.454
0.878 0.502 0.546
0.630 0.999 0.059
0.130 0.001 0.941
0.144 0.209 0.512
0.644 0.791 0.488
0.856 0.299 0.988
0.356 0.701 0.012
0.394 0.066 0.660
0.894 0.934 0.340
0.603 0.414 0.837
0.103 0.586 0.163
```

Computed properties:
The calculation puts the energy above the most stable polymorph in this dataset at 4.5 meV per atom.

# 9
Density functional theory data (GGA+U) for a geometry-optimized LiFeS2O8 structure.

```
LiFeS2O8
1.0
8.406 0.024 -0.013
4.213 7.296 0.020
4.148 2.443 7.593
Li Fe S O
3 3 6 24
direct
0.179 0.161 0.535
0.172 0.785 0.641
0.786 0.400 0.638
0.354 0.346 0.947
0.640 0.645 0.068
0.848 0.855 0.444
0.040 0.472 0.750
0.468 0.742 0.749
0.739 0.036 0.750
0.246 0.953 0.255
0.542 0.254 0.244
0.956 0.542 0.253
0.117 0.505 0.092
0.289 0.113 0.095
0.013 0.347 0.700
0.532 0.287 0.068
0.032 0.664 0.605
0.232 0.385 0.777
0.382 0.611 0.766
0.344 0.940 0.691
0.617 0.239 0.760
0.046 0.977 0.287
0.264 0.957 0.408
0.354 0.296 0.371
0.666 0.693 0.614
0.714 0.022 0.603
0.940 0.001 0.717
0.381 0.765 0.222
0.672 0.048 0.299
0.638 0.379 0.215
0.769 0.633 0.214
0.959 0.365 0.403
0.492 0.687 0.921
0.974 0.683 0.295
0.666 0.903 0.919
0.890 0.511 0.914
```

Computed properties:
The calculation puts the energy above the most stable polymorph in this dataset at 0.0 meV per atom.

# 10
Density functional theory data (GGA+U) for a geometry-optimized Li6Fe5SbO12 structure.

```
Li6Fe5SbO12
1.0
-3.288 -0.116 -4.027
4.382 -2.797 -0.126
-4.557 -8.855 2.871
Li Fe Sb O
6 5 1 12
direct
0.902 0.570 0.289
0.755 0.755 0.710
0.430 0.098 0.711
0.570 0.902 0.289
0.245 0.245 0.290
0.098 0.430 0.711
0.834 0.166 0.500
0.500 0.500 0.500
0.166 0.834 0.500
0.666 0.334 0.000
0.334 0.666 0.000
0.000 0.000 0.000
0.038 0.365 0.897
0.635 0.962 0.103
0.810 0.462 0.607
0.883 0.883 0.393
0.538 0.190 0.393
0.706 0.706 0.896
0.294 0.294 0.104
0.462 0.810 0.607
0.117 0.117 0.607
0.190 0.538 0.393
0.365 0.038 0.897
0.962 0.635 0.103
```

Computed properties:
The value obtained for the calculated total energy is -5.674 eV/atom.

# 11
Density functional theory data (GGA+U) for a geometry-optimized Li2FeSbO4 structure.

```
Li2FeSbO4
1.0
6.271 0.141 0.042
0.136 6.271 0.042
-3.143 -3.145 4.488
Li Fe Sb O
4 2 2 8
direct
0.500 0.000 0.000
0.500 0.000 0.500
0.000 0.000 0.500
0.500 0.500 0.000
0.000 0.500 0.000
0.000 0.500 0.500
0.500 0.500 0.500
0.000 0.000 0.000
0.223 0.734 0.979
0.766 0.277 0.521
0.234 0.723 0.479
0.777 0.266 0.021
0.744 0.756 0.981
0.744 0.756 0.519
0.256 0.244 0.481
0.256 0.244 0.019
```

Computed properties:
The value obtained for the calculated total energy is -5.703 eV/atom.

# 12
Density functional theory data (GGA+U) for a geometry-optimized Li5Fe3Sb2O10 structure.

```
Li5Fe3Sb2O10
1.0
-1.859 -4.637 -2.081
2.555 -3.395 9.696
-6.969 4.597 0.341
Sb Fe O Li
4 6 20 10
direct
0.110 0.355 0.707
0.106 0.848 0.698
0.883 0.136 0.290
0.895 0.651 0.301
0.988 0.745 0.991
0.697 0.453 0.897
0.290 0.054 0.104
0.999 0.257 0.008
0.692 0.945 0.883
0.308 0.555 0.113
0.058 0.034 0.840
0.052 0.543 0.853
0.932 0.464 0.153
0.910 0.934 0.107
0.338 0.365 0.944
0.322 0.834 0.915
0.658 0.153 0.063
0.667 0.661 0.084
0.186 0.173 0.595
0.139 0.659 0.530
0.873 0.357 0.490
0.883 0.846 0.467
0.235 0.259 0.227
0.208 0.740 0.244
0.801 0.260 0.768
0.786 0.750 0.736
0.435 0.455 0.673
0.431 0.940 0.660
0.519 0.042 0.321
0.579 0.562 0.347
0.499 0.243 0.506
0.509 0.745 0.507
0.203 0.441 0.403
0.271 0.951 0.418
0.847 0.060 0.615
0.754 0.538 0.584
0.406 0.151 0.801
0.391 0.645 0.797
0.568 0.347 0.190
0.572 0.850 0.171
```

Computed properties:
The calculation puts the energy above the most stable polymorph in this dataset at 0.0 meV per atom.

# 13
Density functional theory data (GGA+U) for a geometry-optimized Li5Fe3Sb2O10 structure.

```
Li5Fe3Sb2O10
1.0
5.359 0.732 -0.550
-0.106 6.221 0.156
-3.050 -3.661 8.147
Li Fe Sb O
5 3 2 10
direct
0.252 0.638 0.678
0.040 0.194 0.127
0.000 0.000 0.500
0.960 0.806 0.873
0.748 0.362 0.322
0.500 0.000 0.000
0.765 0.591 0.052
0.235 0.409 0.948
0.326 0.887 0.296
0.674 0.113 0.704
0.097 0.174 0.395
0.671 0.338 0.088
0.791 0.711 0.416
0.068 0.127 0.913
0.470 0.094 0.234
0.530 0.906 0.766
0.932 0.873 0.087
0.209 0.289 0.584
0.329 0.662 0.912
0.903 0.826 0.605
```

Computed properties:
The calculation puts the energy above the most stable polymorph in this dataset at 432.1 meV per atom.

# 14
Density functional theory data (GGA+U) for a geometry-optimized Li3Fe3SbO8 structure.

```
Li3Fe3SbO8
1.0
-2.440 0.452 5.569
-5.437 -2.505 1.154
-0.384 -4.931 3.564
Li Fe Sb O
3 3 1 8
direct
0.000 0.000 0.500
0.500 0.000 0.000
0.000 0.500 0.000
0.500 0.500 0.000
0.000 0.500 0.500
0.500 0.000 0.500
0.000 0.000 0.000
0.261 0.261 0.261
0.767 0.767 0.241
0.241 0.767 0.767
0.739 0.739 0.739
0.767 0.241 0.767
0.233 0.233 0.759
0.759 0.233 0.233
0.233 0.759 0.233
```

Computed properties:
The value obtained for the calculated total energy is -6.043 eV/atom.

# 15
Density functional theory data (GGA+U) for a geometry-optimized LiFe2SbO6 structure.

```
LiFe2SbO6
1.0
5.117 0.000 0.000
2.559 4.431 -0.001
2.559 1.477 4.686
Li Fe Sb O
1 2 1 6
direct
0.797 0.796 0.610
0.521 0.521 0.436
0.011 0.011 0.966
0.321 0.321 0.038
0.613 0.236 0.232
0.236 0.918 0.232
0.918 0.613 0.232
0.385 0.729 0.756
0.729 0.129 0.756
0.129 0.385 0.756
```

Computed properties:
The value obtained for the calculated total energy is -6.099 eV/atom.

# 16
Density functional theory data (GGA+U) for a geometry-optimized Li6Fe3Sb3O16 structure.

```
Li6Fe3Sb3O16
1.0
6.069 0.010 -0.019
3.007 5.271 -0.019
0.042 0.025 10.069
Li Fe Sb O
6 3 3 16
direct
0.341 0.341 0.484
0.334 0.334 0.127
0.012 0.012 0.001
0.012 0.012 0.497
0.662 0.662 0.987
0.668 0.668 0.611
0.164 0.164 0.783
0.832 0.337 0.285
0.337 0.832 0.285
0.659 0.165 0.785
0.165 0.659 0.785
0.831 0.831 0.286
0.699 0.160 0.391
0.483 0.483 0.672
0.344 0.344 0.905
0.983 0.983 0.674
0.993 0.993 0.178
0.160 0.699 0.391
0.479 0.025 0.683
0.025 0.479 0.683
0.845 0.845 0.899
0.153 0.153 0.380
0.969 0.508 0.180
0.508 0.969 0.180
0.675 0.675 0.403
0.847 0.303 0.885
0.519 0.519 0.189
0.303 0.847 0.885
```

Computed properties:
The value obtained for the calculated total energy is -5.831 eV/atom.

| no. | total moment (μB/cell) |
| --- | --- |
| 1 | 9.00 |
| 2 | 6.00 |
| 3 | 7.65 |
| 4 | 8.00 |
| 5 | 10.03 |
| 6 | 5.04 |
| 7 | 6.17 |
| 8 | 10.15 |
| 9 | 15.22 |
| 10 | 5.00 |
| 11 | 8.14 |
| 12 | 23.97 |
| 13 | 10.97 |
| 14 | 14.00 |
| 15 | 6.06 |
| 16 | 10.82 |